1.
Density functional theory data (PBE-GGA) for an optimized crystal structure of HoSc2Bi.

The structure belongs to space group P4/mmm (No. 123); the cell edges are 4.686, 4.686 and 4.664 Å and the angles 90.00°, 90.00° and 90.00°. The inequivalent atoms are Ho at (0.000, 0.000, 0.000), Sc at (0.000, 0.500, 0.500) and Bi at (0.500, 0.500, 0.000).

The calculation puts the energy relative to the elements at -296 meV/atom. The calculation puts the relative energy among the computed polymorphs at 154.5 meV/atom. The total energy comes out at -22.3 eV per formula unit.



2.
Density functional theory data (PBE-GGA) for an optimized crystal structure of Ho2ScBi.

The structure belongs to space group R3m (No. 160, hexagonal axes); the cell edges are 3.5717, 3.5717 and 31.5500 Å and the angles 90.00°, 90.00° and 120.00°. The inequivalent atoms are Ho at (0.0000, 0.0000, 0.0000), Ho at (0.0000, 0.0000, 0.1655), Sc at (0.0000, 0.0000, 0.4157) and Bi at (0.0000, 0.0000, 0.5825).

The calculation puts the energy relative to the elements at -177 meV/atom. The calculation puts the relative energy among the computed polymorphs at 186.0 meV/atom. The total energy comes out at -20.1 eV per formula unit.



3.
Density functional theory data (PBE-GGA) for an optimized crystal structure of HoSc2Bi.

The structure belongs to space group P4/mmm (No. 123); the cell edges are 3.877, 3.877 and 6.960 Å and the angles 90.00°, 90.00° and 90.00°. The inequivalent atoms are Ho at (0.000, 0.000, 0.000), Sc at (0.500, 0.500, 0.271) and Bi at (0.000, 0.000, 0.500).

The calculation puts the energy relative to the elements at -281 meV/atom. The calculation puts the relative energy among the computed polymorphs at 170.3 meV/atom. The total energy comes out at -22.2 eV per formula unit.



4.
Density functional theory data (PBE-GGA) for an optimized crystal structure of HoScBiSe.

The structure belongs to space group R3m (No. 160, hexagonal axes); the cell edges are 4.0774, 4.0774 and 21.3930 Å and the angles 90.00°, 90.00° and 120.00°. The inequivalent atoms are Ho at (0.0000, 0.0000, 0.0000), Sc at (0.0000, 0.0000, 0.1845), Bi at (0.0000, 0.0000, 0.7635) and Se at (0.0000, 0.0000, 0.5851).

The total energy comes out at -22.9 eV per formula unit. For the formation energy without anion corrections, the calculation gives -1.1452 eV per atom.



5.
Density functional theory data (PBE-GGA) for an optimized crystal structure of Sm2HoScBi4.

The structure belongs to space group P2/m (No. 10); the cell edges are 7.725, 4.470 and 7.739 Å and the angles 90.00°, 109.51° and 90.00°. The inequivalent atoms are Sm at (0.000, 0.000, 0.000), Sm at (0.000, 0.500, 0.500), Ho at (0.500, 0.000, 0.500), Sc at (0.500, 0.500, 0.000), Bi at (0.261, 0.500, 0.248) and Bi at (0.265, 0.000, 0.761).

The calculation puts the energy relative to the elements at -826 meV/atom. The total energy comes out at -42.5 eV per formula unit.



6.
Density functional theory data (PBE-GGA) for an optimized crystal structure of Tb2HoSc3Bi6.

The structure belongs to space group C2/m (No. 12); the cell edges are 7.584, 13.139 and 7.569 Å and the angles 90.00°, 109.50° and 90.00°. The inequivalent atoms are Tb at (0.000, 0.166, 0.000), Ho at (0.000, 0.500, 0.000), Sc at (0.000, 0.000, 0.500), Sc at (0.000, 0.333, 0.500), Bi at (0.243, 0.500, 0.734) and Bi at (0.246, 0.166, 0.735).

The calculation puts the energy relative to the elements at -759 meV/atom. The total energy comes out at -65.2 eV per formula unit.



7.
Density functional theory data (PBE-GGA) for an optimized crystal structure of TbHo2ScBi5.

The structure belongs to space group P4/mmm (No. 123); the cell edges are 5.483, 5.483 and 11.471 Å and the angles 90.00°, 90.00° and 90.00°. The inequivalent atoms are Tb at (0.000, 0.000, 0.000), Ho at (0.500, 0.500, 0.223), Sc at (0.000, 0.000, 0.500), Bi at (0.000, 0.000, 0.261), Bi at (0.000, 0.500, 0.000) and Bi at (0.500, 0.500, 0.500).

The calculation puts the energy relative to the elements at 109 meV/atom. The total energy comes out at -38.5 eV per formula unit.



8.
Density functional theory data (PBE-GGA) for an optimized crystal structure of Tb3Ho2ScBi6.

The structure belongs to space group C2/m (No. 12); the cell edges are 19.374, 4.448 and 8.894 Å and the angles 90.00°, 103.19° and 90.00°. The inequivalent atoms are Tb at (0.000, 0.000, 0.000), Tb at (0.168, 0.500, 0.334), Ho at (0.166, 0.500, 0.832), Sc at (0.000, 0.000, 0.500), Bi at (0.001, 0.500, 0.261), Bi at (0.162, 0.000, 0.582) and Bi at (0.167, 0.000, 0.082).

The calculation puts the energy relative to the elements at -823 meV/atom. The total energy comes out at -62.5 eV per formula unit.



9.
Density functional theory data (PBE-GGA) for an optimized crystal structure of TbHoSc2Bi4.

The structure belongs to space group P2/m (No. 10); the cell edges are 7.570, 4.375 and 7.579 Å and the angles 90.00°, 109.47° and 90.00°. The inequivalent atoms are Tb at (0.000, 0.000, 0.000), Ho at (0.000, 0.500, 0.500), Sc at (0.500, 0.000, 0.500), Sc at (0.500, 0.500, 0.000), Bi at (0.264, 0.000, 0.754) and Bi at (0.265, 0.500, 0.256).

The calculation puts the energy relative to the elements at -754 meV/atom. The total energy comes out at -43.4 eV per formula unit.



10.
Density functional theory data (PBE-GGA) for an optimized crystal structure of Tb2HoScBi4.

The structure belongs to space group P2/m (No. 10); the cell edges are 7.674, 4.435 and 7.677 Å and the angles 90.00°, 109.48° and 90.00°. The inequivalent atoms are Tb at (0.000, 0.000, 0.000), Tb at (0.000, 0.500, 0.500), Ho at (0.500, 0.000, 0.500), Sc at (0.500, 0.500, 0.000), Bi at (0.257, 0.500, 0.246) and Bi at (0.261, 0.000, 0.759).

The calculation puts the energy relative to the elements at -805 meV/atom. The total energy comes out at -42.1 eV per formula unit.



11.
Density functional theory data (PBE-GGA) for an optimized crystal structure of TbHo2ScBi4.

The structure belongs to space group P2/m (No. 10); the cell edges are 7.662, 4.427 and 7.665 Å and the angles 90.00°, 109.47° and 90.00°. The inequivalent atoms are Tb at (0.000, 0.000, 0.000), Ho at (0.000, 0.500, 0.500), Ho at (0.500, 0.000, 0.500), Sc at (0.500, 0.500, 0.000), Bi at (0.256, 0.500, 0.247) and Bi at (0.259, 0.000, 0.758).

The calculation puts the energy relative to the elements at -793 meV/atom. The total energy comes out at -42.0 eV per formula unit.



12.
Density functional theory data (PBE-GGA) for an optimized crystal structure of HoTh2ScBi5.

The structure belongs to space group P4/mmm (No. 123); the cell edges are 5.443, 5.443 and 11.378 Å and the angles 90.00°, 90.00° and 90.00°. The inequivalent atoms are Ho at (0.000, 0.000, 0.000), Th at (0.500, 0.500, 0.202), Sc at (0.000, 0.000, 0.500), Bi at (0.000, 0.000, 0.260), Bi at (0.000, 0.500, 0.000) and Bi at (0.500, 0.500, 0.500).

The calculation puts the energy relative to the elements at 70 meV/atom. The total energy comes out at -44.5 eV per formula unit.



13.
Density functional theory data (PBE-GGA) for an optimized crystal structure of Ho2ThScBi5.

The structure belongs to space group P4/mmm (No. 123); the cell edges are 5.771, 5.771 and 11.516 Å and the angles 90.00°, 90.00° and 90.00°. The inequivalent atoms are Ho at (0.000, 0.000, 0.219), Th at (0.500, 0.500, 0.000), Sc at (0.500, 0.500, 0.500), Bi at (0.000, 0.000, 0.500), Bi at (0.000, 0.500, 0.000) and Bi at (0.500, 0.500, 0.265).

The calculation puts the energy relative to the elements at 268 meV/atom. The total energy comes out at -39.9 eV per formula unit.



14.
Density functional theory data (PBE-GGA) for an optimized crystal structure of HoTh2ScBi4.

The structure belongs to space group P2/m (No. 10); the cell edges are 7.720, 4.506 and 7.797 Å and the angles 90.00°, 109.77° and 90.00°. The inequivalent atoms are Ho at (0.000, 0.000, 0.000), Th at (0.500, 0.000, 0.500), Th at (0.500, 0.500, 0.000), Sc at (0.000, 0.500, 0.500), Bi at (0.230, 0.000, 0.738) and Bi at (0.234, 0.500, 0.250).

The calculation puts the energy relative to the elements at -647 meV/atom. The total energy comes out at -46.4 eV per formula unit.



15.
Density functional theory data (PBE-GGA) for an optimized crystal structure of HoThSc2Bi4.

The structure belongs to space group P2/m (No. 10); the cell edges are 7.600, 4.419 and 7.632 Å and the angles 90.00°, 109.59° and 90.00°. The inequivalent atoms are Ho at (0.000, 0.000, 0.000), Th at (0.000, 0.500, 0.500), Sc at (0.500, 0.000, 0.500), Sc at (0.500, 0.500, 0.000), Bi at (0.267, 0.500, 0.251) and Bi at (0.271, 0.000, 0.762).

The calculation puts the energy relative to the elements at -683 meV/atom. The total energy comes out at -45.6 eV per formula unit.



16.
Density functional theory data (PBE-GGA) for an optimized crystal structure of Ho2ThScBi4.

The structure belongs to space group P2/m (No. 10); the cell edges are 7.699, 4.470 and 7.730 Å and the angles 90.00°, 109.51° and 90.00°. The inequivalent atoms are Ho at (0.000, 0.000, 0.000), Ho at (0.500, 0.500, 0.000), Th at (0.000, 0.500, 0.500), Sc at (0.500, 0.000, 0.500), Bi at (0.262, 0.000, 0.753) and Bi at (0.262, 0.500, 0.255).

The calculation puts the energy relative to the elements at -715 meV/atom. The total energy comes out at -44.1 eV per formula unit.



17.
Density functional theory data (PBE-GGA) for an optimized crystal structure of Ho3Tm2ScBi6.

The structure belongs to space group C2/m (No. 12); the cell edges are 19.262, 4.421 and 8.843 Å and the angles 90.00°, 103.19° and 90.00°. The inequivalent atoms are Ho at (0.000, 0.000, 0.000), Ho at (0.168, 0.500, 0.334), Tm at (0.166, 0.500, 0.832), Sc at (0.000, 0.000, 0.500), Bi at (0.000, 0.500, 0.259), Bi at (0.163, 0.000, 0.582) and Bi at (0.167, 0.000, 0.082).

The calculation puts the energy relative to the elements at -785 meV/atom. The total energy comes out at -61.7 eV per formula unit.



18.
Density functional theory data (PBE-GGA) for an optimized crystal structure of Ho2Tm3ScBi6.

The structure belongs to space group C2/m (No. 12); the cell edges are 19.243, 4.416 and 8.835 Å and the angles 90.00°, 103.22° and 90.00°. The inequivalent atoms are Ho at (0.166, 0.000, 0.332), Tm at (0.000, 0.500, 0.500), Tm at (0.169, 0.000, 0.834), Sc at (0.000, 0.500, 0.000), Bi at (0.002, 0.000, 0.758), Bi at (0.163, 0.500, 0.080) and Bi at (0.166, 0.500, 0.584).

The calculation puts the energy relative to the elements at -775 meV/atom. The total energy comes out at -61.5 eV per formula unit.



19.
Density functional theory data (PBE-GGA) for an optimized crystal structure of Ho2TmScBi4.

The structure belongs to space group P2/m (No. 10); the cell edges are 7.633, 4.411 and 7.636 Å and the angles 90.00°, 109.47° and 90.00°. The inequivalent atoms are Ho at (0.000, 0.000, 0.000), Ho at (0.000, 0.500, 0.500), Tm at (0.500, 0.000, 0.500), Sc at (0.500, 0.500, 0.000), Bi at (0.256, 0.500, 0.247) and Bi at (0.259, 0.000, 0.758).

The calculation puts the energy relative to the elements at -772 meV/atom. The total energy comes out at -41.7 eV per formula unit.



20.
Density functional theory data (PBE-GGA) for an optimized crystal structure of Ho2TmSc3Bi6.

The structure belongs to space group C2/m (No. 12); the cell edges are 7.553, 13.089 and 7.546 Å and the angles 90.00°, 109.48° and 90.00°. The inequivalent atoms are Ho at (0.000, 0.166, 0.000), Tm at (0.000, 0.500, 0.000), Sc at (0.000, 0.000, 0.500), Sc at (0.000, 0.332, 0.500), Bi at (0.244, 0.500, 0.737) and Bi at (0.247, 0.166, 0.737).

The calculation puts the energy relative to the elements at -736 meV/atom. The total energy comes out at -64.7 eV per formula unit.